DFT (PBE) results for a relaxed structure of TaHgSb2.

```
data_TaHgSb2
_cell_length_a 3.552
_cell_length_b 4.916
_cell_length_c 5.201
_cell_angle_alpha 90.00
_cell_angle_beta 90.00
_cell_angle_gamma 90.00
_space_group_name_H-M_alt 'P m m m'
_space_group_IT_number 47
loop_
_space_group_symop_operation_xyz
'x,y,z'
'-x,-y,-z'
'-x,-y,z'
'x,y,-z'
'x,-y,-z'
'-x,y,z'
'-x,y,-z'
'x,-y,z'
loop_
_atom_site_label
_atom_site_fract_x
_atom_site_fract_y
_atom_site_fract_z
_atom_site_occupancy
Ta1 0.000 0.000 0.000 1
Hg1 0.500 0.000 0.500 1
Sb1 0.000 0.500 0.500 1
Sb2 0.500 0.500 0.000 1
```

Values from the calculation:
Formation energy (no corrections) in eV/atom: 0.56
Crystal system: orthorhombic
N(E_F) in states/eV/atom: 0.67